Here is a relaxed structure of La15ErTm4 from Alexandria. Energies are from PBE-GGA.

The space group is P4/mmm (No. 123) and the conventional cell measures 5.189, 5.189 and 25.942 Å, with angles of 90.00, 90.00 and 90.00 degrees. The inequivalent atoms are La at (0.000, 0.000, 0.000), La at (0.000, 0.000, 0.200), La at (0.000, 0.000, 0.400), La at (0.000, 0.500, 0.100), La at (0.000, 0.500, 0.300), La at (0.000, 0.500, 0.500), Er at (0.500, 0.500, 0.000), Tm at (0.500, 0.500, 0.200) and Tm at (0.500, 0.500, 0.400).

The formation energy comes out at 6 meV per atom.